VASP calculation (SCAN) on a PBEsol-optimized structure of AcGa3.

Structure (POSCAR):
```
AcGa3
1.0
6.7417 0.0000 0.0000
-3.3708 5.8384 0.0000
0.0000 0.0000 4.5896
Ac Ga
2 6
Cartesian
0.0000 3.8923 1.1474 Ac
3.3708 1.9461 3.4422 Ac
0.0000 1.5726 3.4422 Ga
-2.0089 5.0522 3.4422 Ga
1.3619 0.7863 1.1474 Ga
2.0089 5.0522 3.4422 Ga
5.3798 0.7863 1.1474 Ga
3.3708 4.2659 1.1474 Ga
```

Properties
* formation enthalpy at 0 K: -633 meV per atom
* space group: P6_3/mmc, No. 194